1.
## Lu2InAg (meta-GGA SCAN)

Data for Lu2InAg at its PBEsol-relaxed geometry.

Computed properties:
As for the space group: Fm-3m. The density comes out at 10.4 g/cm³. For the formation energy, the calculation gives -499 meV per atom. The value obtained for the electronic total energy is -44.359 eV/atom.

Cell lengths 5.0512, 5.0512, 5.0512 Å; angles 60.00, 60.00, 60.00 degrees
Element x y z (fractional)
Lu1 0.2500 0.2500 0.2500
Lu2 0.7500 0.7500 0.7500
In1 0.0000 0.0000 0.0000
Ag1 0.5000 0.5000 0.5000

2.
## CuNiSe2 (meta-GGA SCAN)

Data for CuNiSe2 at its PBEsol-relaxed geometry.

Computed properties:
As for the space group: F-43m. Its formation energy (no corrections) is 0.681 eV per atom. The density comes out at 7.7 g/cm³. The value obtained for the electronic total energy is -17.202 eV/atom.

Cell lengths 4.4032, 4.4032, 4.4032 Å; angles 60.00, 60.00, 60.00 degrees
Element x y z (fractional)
Cu1 0.0000 0.0000 0.0000
Ni1 0.7500 0.7500 0.7500
Se1 0.2500 0.2500 0.2500
Se2 0.5000 0.5000 0.5000

3.
## Nd3Si2ClO8 (meta-GGA SCAN)

Data for Nd3Si2ClO8 at its PBEsol-relaxed geometry.

Computed properties:
As for the space group: Pnma. Its formation energy (no corrections) is -3.480 eV per atom. Its energy above the most stable polymorph in this dataset is 0 meV/atom. The density comes out at 5.4 g/cm³. The value obtained for the electronic total energy is -18.381 eV/atom.

Cell lengths 7.1018, 18.1168, 6.2944 Å; angles 90.00, 90.00, 90.00 degrees
Element x y z (fractional)
Nd1 0.0205 0.0921 0.1261
Nd2 0.0205 0.4079 0.1261
Nd3 0.1963 0.7500 0.3840
Nd4 0.3037 0.2500 0.8840
Nd5 0.4795 0.5921 0.6261
Nd6 0.4795 0.9079 0.6261
Nd7 0.5205 0.0921 0.3739
Nd8 0.5205 0.4079 0.3739
Nd9 0.6963 0.7500 0.1160
Nd10 0.8037 0.2500 0.6160
Nd11 0.9795 0.5921 0.8739
Nd12 0.9795 0.9079 0.8739
Si1 0.0298 0.1000 0.6222
Si2 0.0298 0.4000 0.6222
Si3 0.4702 0.6000 0.1222
Si4 0.4702 0.9000 0.1222
Si5 0.5298 0.1000 0.8778
Si6 0.5298 0.4000 0.8778
Si7 0.9702 0.6000 0.3778
Si8 0.9702 0.9000 0.3778
Cl1 0.0590 0.2500 0.2451
Cl2 0.4410 0.7500 0.7451
Cl3 0.5590 0.2500 0.2549
Cl4 0.9410 0.7500 0.7549
O1 0.0152 0.0307 0.7848
O2 0.0152 0.4693 0.7848
O3 0.0413 0.1744 0.7794
O4 0.0413 0.3256 0.7794
O5 0.1557 0.6194 0.5289
O6 0.1557 0.8806 0.5289
O7 0.2008 0.0958 0.4515
O8 0.2008 0.4042 0.4515
O9 0.2992 0.5958 0.9515
O10 0.2992 0.9042 0.9515
O11 0.3443 0.1194 0.0289
O12 0.3443 0.3806 0.0289
O13 0.4587 0.6744 0.2794
O14 0.4587 0.8256 0.2794
O15 0.4848 0.5307 0.2848
O16 0.4848 0.9693 0.2848
O17 0.5152 0.0307 0.7152
O18 0.5152 0.4693 0.7152
O19 0.5413 0.1744 0.7206
O20 0.5413 0.3256 0.7206
O21 0.6557 0.6194 0.9711
O22 0.6557 0.8806 0.9711
O23 0.7008 0.0958 0.0485
O24 0.7008 0.4042 0.0485
O25 0.7992 0.5958 0.5485
O26 0.7992 0.9042 0.5485
O27 0.8443 0.1194 0.4711
O28 0.8443 0.3806 0.4711
O29 0.9587 0.6744 0.2206
O30 0.9587 0.8256 0.2206
O31 0.9848 0.5307 0.2152
O32 0.9848 0.9693 0.2152

4.
## RbB2TeW (meta-GGA SCAN)

Data for RbB2TeW at its PBEsol-relaxed geometry.

Computed properties:
As for the space group: P4/mmm. Its formation energy (no corrections) is 3.515 eV per atom. The density comes out at 5.9 g/cm³. The value obtained for the electronic total energy is -24.993 eV/atom.

Cell lengths 4.4262, 4.4262, 6.0306 Å; angles 90.00, 90.00, 90.00 degrees
Element x y z (fractional)
Rb1 0.0000 0.0000 0.0000
B1 0.0000 0.5000 0.0000
B2 0.5000 0.0000 0.0000
Te1 0.0000 0.0000 0.5000
W1 0.5000 0.5000 0.5000

5.
## BaTl2In (meta-GGA SCAN)

Data for BaTl2In at its PBEsol-relaxed geometry.

Computed properties:
As for the space group: F-43m. The density comes out at 9.0 g/cm³. For the formation energy, the calculation gives -321 meV per atom. The value obtained for the electronic total energy is -54.734 eV/atom.

Cell lengths 5.5644, 5.5644, 5.5644 Å; angles 60.00, 60.00, 60.00 degrees
Element x y z (fractional)
Ba1 0.0000 0.0000 0.0000
Tl1 0.5000 0.5000 0.5000
Tl2 0.7500 0.7500 0.7500
In1 0.2500 0.2500 0.2500

6.
## Sr3SmFe2O8 (meta-GGA SCAN)

Data for Sr3SmFe2O8 at its PBEsol-relaxed geometry.

Computed properties:
As for the space group: Amm2. Its formation energy (no corrections) is -2.702 eV per atom. The density comes out at 6.2 g/cm³. The value obtained for the electronic total energy is -16.800 eV/atom.

Cell lengths 5.3016, 6.7173, 6.7173 Å; angles 46.48, 90.00, 90.00 degrees
Element x y z (fractional)
Sr1 0.0000 0.0000 0.0000
Sr2 0.0000 0.2882 0.2882
Sr3 0.5000 0.4977 0.4977
Sm1 0.5000 0.7802 0.7802
Fe1 0.0000 0.6422 0.6422
Fe2 0.5000 0.1431 0.1431
O1 0.0000 0.4863 0.4863
O2 0.0000 0.8026 0.8026
O3 0.2547 0.4009 0.8921
O4 0.2547 0.8921 0.4009
O5 0.5000 0.3030 0.3030
O6 0.5000 0.9673 0.9673
O7 0.7453 0.4009 0.8921
O8 0.7453 0.8921 0.4009

7.
## GaTcS2Cl (meta-GGA SCAN)

Data for GaTcS2Cl at its PBEsol-relaxed geometry.

Computed properties:
As for the space group: P4/mmm. Its formation energy (no corrections) is -0.115 eV per atom. Its energy above the most stable polymorph in this dataset is 0 meV/atom. The density comes out at 4.3 g/cm³. The value obtained for the electronic total energy is -15.843 eV/atom.

Cell lengths 4.5107, 4.5107, 5.0383 Å; angles 90.00, 90.00, 90.00 degrees
Element x y z (fractional)
Ga1 0.0000 0.0000 0.0000
Tc1 0.5000 0.5000 0.5000
S1 0.0000 0.5000 0.5000
S2 0.5000 0.0000 0.5000
Cl1 0.5000 0.5000 0.0000

8.
## Sc5Ir3 (meta-GGA SCAN)

Data for Sc5Ir3 at its PBEsol-relaxed geometry.

Computed properties:
As for the space group: I4/mcm. Its energy above the most stable polymorph in this dataset is 17 meV/atom. The density comes out at 9.1 g/cm³. For the formation energy, the calculation gives -983 meV per atom. The value obtained for the electronic total energy is -36.544 eV/atom.

Cell lengths 7.7750, 7.7750, 7.7750 Å; angles 97.40, 97.40, 137.94 degrees
Element x y z (fractional)
Sc1 0.0790 0.7868 0.8657
Sc2 0.2132 0.0790 0.2922
Sc3 0.2500 0.7500 0.5000
Sc4 0.2868 0.5790 0.8657
Sc5 0.4210 0.2868 0.7078
Sc6 0.5790 0.7132 0.2922
Sc7 0.7132 0.4210 0.1343
Sc8 0.7500 0.2500 0.5000
Sc9 0.7868 0.9210 0.7078
Sc10 0.9210 0.2132 0.1343
Ir1 0.1594 0.3406 0.5000
Ir2 0.2500 0.2500 0.0000
Ir3 0.3406 0.8406 0.1812
Ir4 0.6594 0.1594 0.8188
Ir5 0.7500 0.7500 0.0000
Ir6 0.8406 0.6594 0.5000

- What is the electronic total energy in the seventh record?
  -15.843 eV/atom

- Look up the electronic total energy of the fifth one.
  -54.734 eV/atom

- Which of these has the lowest electronic total energy?
  BaTl2In